Record 1
Here is a relaxed ZrAgTe crystal from Alexandria. Energies are from PBEsol.

a b c (Å): 6.592 6.592 6.592
angles (deg): 90.00 90.00 90.00
Sites, in units of the cell vectors:
Zr (0.000, 0.000, 0.000)
Zr (0.000, 0.500, 0.500)
Zr (0.500, 0.000, 0.500)
Zr (0.500, 0.500, 0.000)
Ag (0.000, 0.000, 0.500)
Ag (0.000, 0.500, 0.000)
Ag (0.500, 0.000, 0.000)
Ag (0.500, 0.500, 0.500)
Te (0.250, 0.250, 0.250)
Te (0.250, 0.750, 0.750)
Te (0.750, 0.250, 0.750)
Te (0.750, 0.750, 0.250)

The formation energy from raw total energies is 0.096 eV per atom.

***

Record 2
Here is a relaxed CuPOsS2 crystal from Alexandria. Energies are from PBEsol.

a b c (Å): 4.626 4.626 4.471
angles (deg): 90.00 90.00 90.00
Sites, in units of the cell vectors:
Cu (0.000, 0.000, 0.000)
P (0.500, 0.500, 0.000)
Os (0.500, 0.500, 0.500)
S (0.000, 0.500, 0.500)
S (0.500, 0.000, 0.500)

The formation energy from raw total energies is 0.916 eV per atom.

***

Record 3
Here is a relaxed Ta3SnB crystal from Alexandria. Energies are from PBEsol.

a b c (Å): 4.937 4.937 4.937
angles (deg): 90.00 90.00 90.00
Sites, in units of the cell vectors:
Ta (0.000, 0.000, 0.500)
Ta (0.000, 0.500, 0.000)
Ta (0.500, 0.000, 0.000)
Sn (0.000, 0.000, 0.000)
B (0.500, 0.500, 0.500)

Its formation energy is 3005 meV per atom.

***

Number 1: ρ 7.6 Mg/m³. Number 2: ρ 6.1 Mg/m³. Number 3: ρ 9.3 Mg/m³.